A geometry-optimized PrAs2Au structure, computed with GGA-PBEsol.

```
32
Lattice="5.801 0.000 0.000 0.000 20.370 0.000 0.000 0.000 5.760" Properties=species:S:1:pos:R:3 pbc="T T T"
Pr 0.083 2.374 1.440
Pr 0.083 7.811 4.320
Pr 2.812 12.630 4.320
Pr 2.812 17.925 1.440
Pr 2.989 2.445 4.320
Pr 2.989 7.740 1.440
Pr 5.718 12.559 1.440
Pr 5.718 17.996 4.320
As 0.088 3.261 4.320
As 0.088 6.924 1.440
As 1.579 0.013 3.033
As 1.579 0.013 5.608
As 1.579 10.172 0.153
As 1.579 10.172 2.727
As 2.814 13.470 1.440
As 2.814 17.085 4.320
As 2.987 3.285 1.440
As 2.987 6.900 4.320
As 4.222 10.198 3.033
As 4.222 10.198 5.608
As 4.222 20.357 0.153
As 4.222 20.357 2.727
As 5.713 13.446 4.320
As 5.713 17.109 1.440
Au 1.342 15.278 0.000
Au 1.342 15.278 2.880
Au 1.542 5.093 0.000
Au 1.542 5.093 2.880
Au 4.259 15.278 0.000
Au 4.259 15.278 2.880
Au 4.459 5.093 0.000
Au 4.459 5.093 2.880
```

Properties
DFT formation energy (eV/atom): -0.80

A geometry-optimized K2RhBr structure, computed with GGA-PBEsol.

```
4
Lattice="4.446 0.000 0.000 0.000 4.446 0.000 0.000 0.000 6.509" Properties=species:S:1:pos:R:3 pbc="T T T"
K 0.000 0.000 0.000
K 2.223 2.223 3.235
Rh 2.223 2.223 6.490
Br 0.000 0.000 3.257
```

Properties
Formation energy (no corrections) (kJ per mole of atoms): 19.25

A geometry-optimized Na3SrSn structure, computed with GGA-PBEsol.

```
5
Lattice="6.060 0.000 0.000 0.000 6.060 0.000 0.000 0.000 6.060" Properties=species:S:1:pos:R:3 pbc="T T T"
Na 0.000 0.000 3.030
Na 0.000 3.030 0.000
Na 3.030 0.000 0.000
Sr 0.000 0.000 0.000
Sn 3.030 3.030 3.030
```

Properties
DFT formation energy (eV/atom): 0.82

Record-wise Fermi-level density of states values, in states/eV/atom: 0.19, 2.43, 0.75